1.
# ErGa3Fe

ErGa3Fe after structural relaxation (PBE, Alexandria).

It has space group Pm-3m (No. 221), with a = 4.5243 Å, b = 4.5243 Å, c = 4.5243 Å, α = 90.00°, β = 90.00° and γ = 90.00°. Symmetry generates all atoms from Er at (0.0000, 0.0000, 0.0000), Ga at (0.0000, 0.5000, 0.5000) and Fe at (0.5000, 0.5000, 0.5000).

The magnetization is 0.000 μB per formula unit. The calculation puts the raw total energy at -4.67 eV/atom. For the distance to the lowest polymorph of the same formula, the calculation gives 117 meV per atom. Its crystal system is cubic.

2.
# KRhSe2

KRhSe2 after structural relaxation (PBE, Alexandria).

It has space group Cm (No. 8), with a = 12.0772 Å, b = 3.7541 Å, c = 5.0716 Å, α = 90.00°, β = 110.66° and γ = 90.00°. Symmetry generates all atoms from K at (0.0000, 0.0000, 0.0000), Rh at (0.2455, 0.0000, 0.5586), Se at (0.1825, 0.5000, 0.7835) and Se at (0.3050, 0.5000, 0.3262).

The magnetization is 0.000 μB per formula unit. The calculation puts the raw total energy at -4.38 eV/atom. Its crystal system is monoclinic. As for the formation energy without anion corrections: -2.12 eV/f.u.